! PBE LiTe5W3, optimized geometry; values from VASP
&SYSTEM
  ibrav = 0, nat = 9, ntyp = 3
/
ATOMIC_SPECIES
Li 6.94 Li.upf
Te 127.60 Te.upf
W 183.84 W.upf
CELL_PARAMETERS angstrom
5.830 0.000 0.000
-2.915 5.049 0.000
0.000 0.000 8.207
ATOMIC_POSITIONS angstrom
Li 0.000 0.000 0.000
Te 0.000 0.000 4.104
Te 0.000 3.366 1.870
Te 0.000 3.366 6.337
Te 2.915 1.683 1.870
Te 2.915 1.683 6.337
W -1.458 2.525 4.104
W 2.915 0.000 4.104
W 1.458 2.525 4.104
! DFT total energy, eV per cell: -53.75


! PBE LiTe3W, optimized geometry; values from VASP
&SYSTEM
  ibrav = 0, nat = 10, ntyp = 3
/
ATOMIC_SPECIES
Li 6.94 Li.upf
Te 127.60 Te.upf
W 183.84 W.upf
CELL_PARAMETERS angstrom
2.199 -8.637 0.000
2.199 8.637 0.000
0.000 0.000 7.081
ATOMIC_POSITIONS angstrom
Li 2.199 7.815 5.311
Li 2.199 -7.815 1.770
Te 2.199 5.607 3.549
Te 2.199 5.607 7.073
Te 2.199 0.628 5.311
Te 2.199 -0.628 1.770
Te 2.199 -5.607 0.008
Te 2.199 -5.607 3.532
W 2.199 3.412 5.311
W 2.199 -3.412 1.770
! DFT total energy, eV per cell: -48.92


! PBE LiTeW, optimized geometry; values from VASP
&SYSTEM
  ibrav = 0, nat = 3, ntyp = 3
/
ATOMIC_SPECIES
Li 6.94 Li.upf
Te 127.60 Te.upf
W 183.84 W.upf
CELL_PARAMETERS angstrom
0.000 3.109 3.109
3.109 0.000 3.109
3.109 3.109 0.000
ATOMIC_POSITIONS angstrom
Li 0.000 0.000 0.000
Te 1.555 1.555 1.555
W 3.109 3.109 3.109
! Distance to the lowest polymorph of the same formula, eV/atom: 0.000


! PBE LiZnTe, optimized geometry; values from VASP
&SYSTEM
  ibrav = 0, nat = 3, ntyp = 3
/
ATOMIC_SPECIES
Li 6.94 Li.upf
Zn 65.41 Zn.upf
Te 127.60 Te.upf
CELL_PARAMETERS angstrom
0.000 3.164 3.164
3.164 0.000 3.164
3.164 3.164 0.000
ATOMIC_POSITIONS angstrom
Li 0.000 0.000 0.000
Zn 1.582 1.582 1.582
Te 4.745 4.745 4.745
! Distance to the lowest polymorph of the same formula, eV/atom: 0.000